Entry 1:
Material: GaRe2F
Method: DFT, PBE
State: relaxed

It has space group I-42d (No. 122), with a = 6.9071 Å, b = 6.9071 Å, c = 4.8480 Å, α = 90.00°, β = 90.00° and γ = 90.00°. The distinct sites, in fractional coordinates, are Ga at (0.0000, 0.0000, 0.0000), Re at (0.1843, 0.2500, 0.6250) and F at (0.0000, 0.0000, 0.5000).

The calculation puts the density of states at the Fermi level at 0.486 states/eV per atom. The energy above the most stable polymorph in this dataset comes out at 0.000 eV per formula unit. The raw formation energy is 56.8 kJ per mole of atoms. The total energy is -6.860 eV per atom. As for the total moment: 0.00 μB/f.u.

***

Entry 2:
Material: GaReF2
Method: DFT, PBE
State: relaxed

It has space group I-42d (No. 122), with a = 7.3166 Å, b = 7.3166 Å, c = 4.9893 Å, α = 90.00°, β = 90.00° and γ = 90.00°. The distinct sites, in fractional coordinates, are Ga at (0.0000, 0.0000, 0.0000), Re at (0.0000, 0.0000, 0.5000) and F at (0.1273, 0.7500, 0.6250).

The calculation puts the density of states at the Fermi level at 0.758 states/eV per atom. The energy above the most stable polymorph in this dataset comes out at 3.060 eV per formula unit. The raw formation energy is -30.3 kJ per mole of atoms. The total energy is -5.118 eV per atom. As for the total moment: 1.81 μB/f.u.

***

Entry 3:
Material: ScGa2ReF
Method: DFT, PBE
State: relaxed

It has space group P4/mmm (No. 123), with a = 5.3819 Å, b = 5.3819 Å, c = 4.8040 Å, α = 90.00°, β = 90.00° and γ = 90.00°. The distinct sites, in fractional coordinates, are Sc at (0.0000, 0.0000, 0.0000), Ga at (0.0000, 0.5000, 0.0000), Re at (0.0000, 0.0000, 0.5000) and F at (0.5000, 0.5000, 0.5000).

The calculation puts the density of states at the Fermi level at 0.764 states/eV per atom. The raw formation energy is 97.3 kJ per mole of atoms. The total energy is -4.333 eV per atom. As for the total moment: 1.81 μB/f.u.

***

Entry 4:
Material: YGaRe2F
Method: DFT, PBE
State: relaxed

It has space group P4/mmm (No. 123), with a = 4.8491 Å, b = 4.8491 Å, c = 4.1924 Å, α = 90.00°, β = 90.00° and γ = 90.00°. The distinct sites, in fractional coordinates, are Y at (0.0000, 0.0000, 0.0000), Ga at (0.5000, 0.5000, 0.5000), Re at (0.0000, 0.5000, 0.5000) and F at (0.5000, 0.5000, 0.0000).

The calculation puts the density of states at the Fermi level at 0.940 states/eV per atom. The raw formation energy is 66.2 kJ per mole of atoms. The total energy is -6.565 eV per atom. As for the total moment: 4.03 μB/f.u.